VASP calculation (PBE) on a geometry-optimized CuPb2W structure.

Unit cell a=3.078 b=3.078 c=9.597 alpha=90.00 beta=90.00 gamma=90.84
Sites, in units of the cell vectors:
Cu 0.500 0.500 0.711
Pb 0.000 0.000 0.922
Pb 0.500 0.500 0.313
W 0.000 0.000 0.553

Results
E_form: 0.5412 eV per atom
offset from the most stable computed form: 0.0 meV per atom
M_tot: 0.00 μB/f.u.